A plane-wave DFT calculation with PBE was carried out for a relaxed structure of Sr2MgSi3Au12.

Summary:
Its raw formation energy is -2.9 eV/f.u. The total magnetization comes out at 0.00 μB/f.u.

Cell lengths 8.1250, 8.1250, 8.1250 Å; angles 66.57, 66.57, 66.57 degrees
Last column: nearest neighbours and their distance in Å.
Atoms (fractional coordinates):
Au: 0.3688 0.8710 0.8710  1 Si 2.45, 1 Mg 2.66
Mg: 0.0000 0.0000 0.0000  6 Au 2.66
Au: 0.8710 0.3688 0.8710  1 Si 2.45, 1 Mg 2.66
Sr: 0.6048 0.6048 0.6048  9 Au 3.19-3.48
Au: 0.8694 0.3197 0.3197  2 Si 2.46
Au: 0.6803 0.6803 0.1306  2 Si 2.46
Au: 0.1290 0.6312 0.1290  1 Si 2.45, 1 Mg 2.66
Si: 0.0000 0.5000 0.0000  6 Au 2.45-2.46
Au: 0.6803 0.1306 0.6803  2 Si 2.46
Sr: 0.3952 0.3952 0.3952  9 Au 3.19-3.48
Au: 0.8710 0.8710 0.3688  1 Si 2.45, 1 Mg 2.66
Au: 0.3197 0.3197 0.8694  2 Si 2.46
Au: 0.3197 0.8694 0.3197  2 Si 2.46
Si: 0.0000 0.0000 0.5000  6 Au 2.45-2.46
Au: 0.1290 0.1290 0.6312  1 Si 2.45, 1 Mg 2.66
Si: 0.5000 0.0000 0.0000  6 Au 2.45-2.46
Au: 0.6312 0.1290 0.1290  1 Si 2.45, 1 Mg 2.66
Au: 0.1306 0.6803 0.6803  2 Si 2.46